Record 1
MoIrRu2 (GGA-PBEsol, relaxed); V = 55.7 Å³/cell; symmetry = F222, No. 22; energy of formation = -0.11 eV/atom
1.0
0.0000 2.7033 3.8201
2.6981 0.0000 3.8201
2.6981 2.7033 0.0000
Mo Ir Ru
1 1 2
direct
0.0000 0.0000 0.0000
0.7500 0.7500 0.7500
0.2500 0.2500 0.2500
0.5000 0.5000 0.5000

Record 2
MgNi (GGA-PBEsol, relaxed); V = 58.0 Å³/cell; symmetry = R-3m, No. 166; energy of formation = 0.20 eV/atom
1.0
1.3992 0.8078 8.5565
-1.3992 0.8078 8.5565
0.0000 -1.6156 8.5565
Mg Ni
2 2
direct
0.1135 0.1135 0.1135
0.8865 0.8865 0.8865
0.3688 0.3688 0.3688
0.6312 0.6312 0.6312

Record 3
Zr2AlGeRu (GGA-PBEsol, relaxed); V = 109.8 Å³/cell; symmetry = P4/mmm, No. 123; energy of formation = 0.15 eV/atom
1.0
4.8813 0.0000 0.0000
0.0000 4.8813 0.0000
0.0000 0.0000 4.6064
Zr Al Ge Ru
2 1 1 1
direct
0.0000 0.5000 0.0000
0.5000 0.0000 0.0000
0.0000 0.0000 0.5000
0.5000 0.5000 0.5000
0.0000 0.0000 0.0000

Record 4
InH2 (GGA-PBEsol, relaxed); V = 92.5 Å³/cell; symmetry = P-1, No. 2
1.0
2.9986 0.0000 0.0000
1.2289 2.7898 0.0000
0.8070 0.3486 11.0540
In H
2 4
direct
0.1821 0.1849 0.3721
0.8179 0.8151 0.6279
0.3313 0.3150 0.9388
0.3542 0.3405 0.8698
0.6458 0.6595 0.1302
0.6687 0.6850 0.0612

| no. | total magnetic moment (μB per atom) | DFT total energy (eV for the cell shown) |
| --- | --- | --- |
| 1 | 0.000 | -42.38 |
| 2 | 0.000 | -14.96 |
| 3 | 0.000 | -36.63 |
| 4 | 0.000 | -18.52 |